Record 1
LiGaNF2 | PBE | optimized geometry

The structure in POSCAR format:
```
LiGaNF2
1.0
3.450 0.000 0.000
0.000 3.450 0.000
0.000 0.000 4.266
Li Ga N F
1 1 1 2
direct
0.000 0.000 0.000
0.500 0.500 0.500
0.000 0.000 0.500
0.000 0.500 0.000
0.500 0.000 0.000
```

Calculated values
**Formation energy (no corrections)**: -733.3 meV/atom
**Offset from the most stable computed form**: 479.3 meV/atom

Record 2
VSiTc | PBE | optimized geometry

The structure in POSCAR format:
```
VSiTc
1.0
4.223 0.000 0.000
-2.111 3.657 0.000
0.000 0.000 5.168
V Si Tc
2 2 2
direct
0.000 0.000 0.000
0.333 0.667 0.790
0.333 0.667 0.283
0.667 0.333 0.676
0.000 0.000 0.511
0.667 0.333 0.160
```

Calculated values
**Formation energy (no corrections)**: -443.4 meV/atom
**Offset from the most stable computed form**: 76.1 meV/atom

Record 3
AcTbGa2 | PBE | optimized geometry

The structure in POSCAR format:
```
AcTbGa2
1.0
3.872 0.000 0.000
-1.936 3.354 0.000
0.000 0.000 27.125
Ac Tb Ga
3 3 6
direct
0.000 0.000 0.000
0.333 0.667 0.667
0.667 0.333 0.333
0.000 0.000 0.500
0.333 0.667 0.167
0.667 0.333 0.833
0.000 0.000 0.243
0.000 0.000 0.757
0.333 0.667 0.423
0.333 0.667 0.910
0.667 0.333 0.090
0.667 0.333 0.577
```

Calculated values
**Calculated formation energy**: -0.3051 eV per atom

Record 4
LiSiH2 | PBE | optimized geometry

The structure in POSCAR format:
```
LiSiH2
1.0
5.204 0.000 0.000
0.000 5.204 0.000
0.000 0.000 5.204
Li Si H
4 4 8
direct
0.000 0.000 0.000
0.000 0.500 0.500
0.500 0.000 0.500
0.500 0.500 0.000
0.000 0.000 0.500
0.000 0.500 0.000
0.500 0.000 0.000
0.500 0.500 0.500
0.250 0.250 0.250
0.250 0.250 0.750
0.250 0.750 0.250
0.250 0.750 0.750
0.750 0.250 0.250
0.750 0.250 0.750
0.750 0.750 0.250
0.750 0.750 0.750
```

Calculated values
**Offset from the most stable computed form**: 488.4 meV/atom

Record 5
ZnS2ICl | PBE | optimized geometry

The structure in POSCAR format:
```
ZnS2ICl
1.0
4.877 0.000 0.000
0.000 4.877 0.000
0.000 0.000 4.664
Zn S I Cl
1 2 1 1
direct
0.000 0.000 0.000
0.000 0.500 0.000
0.500 0.000 0.000
0.500 0.500 0.500
0.000 0.000 0.500
```

Calculated values
**Formation energy (no corrections)**: 292.7 meV/atom
**Offset from the most stable computed form**: 0.0 meV/atom

Record 6
RbHgPS4 | PBE | optimized geometry

The structure in POSCAR format:
```
RbHgPS4
1.0
6.379 0.000 0.000
0.000 7.335 0.000
-2.472 0.000 8.835
Rb Hg P S
2 2 2 8
direct
0.249 0.250 0.074
0.751 0.750 0.926
0.245 0.250 0.600
0.755 0.750 0.400
0.196 0.750 0.292
0.804 0.250 0.708
0.006 0.027 0.711
0.006 0.473 0.711
0.323 0.750 0.114
0.438 0.750 0.498
0.562 0.250 0.502
0.677 0.250 0.886
0.994 0.527 0.289
0.994 0.973 0.289
```

Calculated values
**Formation energy (no corrections)**: -485.4 meV/atom

Record 7
LaTa2NbN | PBE | optimized geometry

The structure in POSCAR format:
```
LaTa2NbN
1.0
4.899 0.000 0.000
0.000 4.899 0.000
0.000 0.000 4.835
La Ta Nb N
1 2 1 1
direct
0.000 0.000 0.000
0.000 0.500 0.000
0.500 0.000 0.000
0.000 0.000 0.500
0.500 0.500 0.500
```

Calculated values
**Formation energy (no corrections)**: 3209.8 meV/atom

Record 8
PmPrPtAu | PBE | optimized geometry

The structure in POSCAR format:
```
PmPrPtAu
1.0
7.331 0.000 0.000
0.000 7.331 0.000
0.000 0.000 7.331
Pm Pr Pt Au
4 4 4 4
direct
0.000 0.000 0.000
0.000 0.500 0.500
0.500 0.000 0.500
0.500 0.500 0.000
0.000 0.000 0.500
0.000 0.500 0.000
0.500 0.000 0.000
0.500 0.500 0.500
0.250 0.250 0.750
0.250 0.750 0.250
0.750 0.250 0.250
0.750 0.750 0.750
0.250 0.250 0.250
0.250 0.750 0.750
0.750 0.250 0.750
0.750 0.750 0.250
```

Calculated values
**Calculated formation energy**: -0.8983 eV per atom
**Offset from the most stable computed form**: 73.3 meV/atom

Record 9
Zr2ScW | PBE | optimized geometry

The structure in POSCAR format:
```
Zr2ScW
1.0
4.690 0.000 0.000
0.000 4.690 0.000
0.000 0.000 7.473
Zr Sc W
4 2 2
direct
0.000 0.000 0.000
0.000 0.500 0.250
0.500 0.000 0.750
0.500 0.500 0.500
0.000 0.500 0.750
0.500 0.000 0.250
0.000 0.000 0.500
0.500 0.500 0.000
```

Calculated values
**Calculated formation energy**: 0.2554 eV per atom
**Offset from the most stable computed form**: 126.3 meV/atom

Record 10
TaIn3C | PBE | optimized geometry

The structure in POSCAR format:
```
TaIn3C
1.0
4.651 0.000 0.000
0.000 4.651 0.000
0.000 0.000 4.651
Ta In C
1 3 1
direct
0.000 0.000 0.000
0.000 0.500 0.500
0.500 0.000 0.500
0.500 0.500 0.000
0.500 0.500 0.500
```

Calculated values
**Calculated formation energy**: 1.3080 eV per atom
**Offset from the most stable computed form**: 0.0 meV/atom

Record 11
FePRh2 | PBE | optimized geometry

The structure in POSCAR format:
```
FePRh2
1.0
5.357 0.000 0.000
0.000 5.357 0.000
0.000 0.000 10.445
Fe P Rh
4 4 8
direct
0.000 0.000 0.000
0.000 0.500 0.250
0.500 0.000 0.750
0.500 0.500 0.500
0.000 0.000 0.500
0.000 0.500 0.750
0.500 0.000 0.250
0.500 0.500 0.000
0.222 0.250 0.625
0.250 0.722 0.875
0.250 0.778 0.375
0.278 0.250 0.125
0.722 0.750 0.125
0.750 0.222 0.375
0.750 0.278 0.875
0.778 0.750 0.625
```

Calculated values
**Calculated formation energy**: 0.2303 eV per atom

Record 12
Sm8PIr3I4 | PBE | optimized geometry

The structure in POSCAR format:
```
Sm8PIr3I4
1.0
4.213 2.432 7.933
-4.213 2.432 7.933
0.000 -4.865 7.933
Sm P Ir I
8 1 3 4
direct
0.217 0.733 0.733
0.228 0.228 0.228
0.267 0.267 0.783
0.267 0.783 0.267
0.733 0.217 0.733
0.733 0.733 0.217
0.772 0.772 0.772
0.783 0.267 0.267
0.500 0.500 0.500
0.000 0.000 0.500
0.000 0.500 0.000
0.500 0.000 0.000
0.000 0.000 0.000
0.000 0.500 0.500
0.500 0.000 0.500
0.500 0.500 0.000
```

Calculated values
**Formation energy (no corrections)**: -1025.9 meV/atom

Record-wise size of the total moment values, in Bohr magnetons per cell: 1.15 1.02 0.00 0.00 0.00 0.00 0.00 0.00 0.00 1.33 13.06 0.00